Model a:
Entry from the Alexandria database: an optimized crystal structure of Tb4Dy4Y3 (PBE-GGA).

```
data_Tb4Dy4Y3
_cell_length_a 3.553
_cell_length_b 11.172
_cell_length_c 18.250
_cell_angle_alpha 90.00
_cell_angle_beta 90.00
_cell_angle_gamma 90.00
_space_group_name_H-M_alt 'I m m m'
_space_group_IT_number 71
_space_group_name_Hall '-I 2 2'
loop_
_atom_site_label
_atom_site_fract_x
_atom_site_fract_y
_atom_site_fract_z
Tb1 0.000 0.236 0.169
Dy1 0.000 0.292 0.000
Dy2 0.000 0.500 0.272
Y1 0.000 0.000 0.394
Y2 0.000 0.500 0.500
```

***

Model b:
Entry from the Alexandria database: an optimized crystal structure of Tb4Dy4Y3 (PBE-GGA).

```
data_Tb4Dy4Y3
_cell_length_a 3.533
_cell_length_b 5.595
_cell_length_c 18.059
_cell_angle_alpha 81.11
_cell_angle_beta 84.40
_cell_angle_gamma 90.00
_space_group_name_H-M_alt 'P -1'
_space_group_IT_number 2
_space_group_name_Hall '-P 1'
loop_
_atom_site_label
_atom_site_fract_x
_atom_site_fract_y
_atom_site_fract_z
Tb1 0.045 0.045 0.408
Tb2 0.180 0.680 0.139
Dy1 0.090 0.590 0.319
Dy2 0.234 0.233 0.033
Y1 0.364 0.864 0.774
Y2 0.500 0.500 0.500
```

***

Which is most stable, and by how much? model b, by 124 meV per atom.

***

Model a:
Entry from the Alexandria database: an optimized crystal structure of Tb6Dy2Y (PBE-GGA).

```
data_Tb6Dy2Y
_cell_length_a 13.354
_cell_length_b 14.530
_cell_length_c 6.241
_cell_angle_alpha 90.00
_cell_angle_beta 105.19
_cell_angle_gamma 90.00
_space_group_name_H-M_alt 'C 1 2/c 1'
_space_group_IT_number 15
_space_group_name_Hall '-C 2yc'
loop_
_atom_site_label
_atom_site_fract_x
_atom_site_fract_y
_atom_site_fract_z
Tb1 0.057 0.122 0.016
Tb2 0.108 0.457 0.954
Tb3 0.203 0.283 0.729
Dy1 0.195 0.068 0.592
Y1 0.000 0.321 0.250
```

***

Model b:
Entry from the Alexandria database: an optimized crystal structure of Tb6Dy2Y (PBE-GGA).

```
data_Tb6Dy2Y
_cell_length_a 3.561
_cell_length_b 8.709
_cell_length_c 9.411
_cell_angle_alpha 90.01
_cell_angle_beta 100.84
_cell_angle_gamma 90.08
_space_group_name_H-M_alt 'P -1'
_space_group_IT_number 2
_space_group_name_Hall '-P 1'
loop_
_atom_site_label
_atom_site_fract_x
_atom_site_fract_y
_atom_site_fract_z
Tb1 0.112 0.167 0.222
Tb2 0.222 0.833 0.444
Tb3 0.333 0.500 0.666
Dy1 0.444 0.166 0.889
Y1 0.000 0.500 0.000
```

***

Which is most stable, and by how much? model b, by 218 meV per atom.

***

Model a:
Entry from the Alexandria database: an optimized crystal structure of TbDy5Y4 (PBE-GGA).

```
data_TbDy5Y4
_cell_length_a 10.567
_cell_length_b 10.567
_cell_length_c 5.910
_cell_angle_alpha 90.00
_cell_angle_beta 90.00
_cell_angle_gamma 90.00
_space_group_name_H-M_alt 'I 4 m m'
_space_group_IT_number 107
_space_group_name_Hall 'I 4 -2'
loop_
_atom_site_label
_atom_site_fract_x
_atom_site_fract_y
_atom_site_fract_z
Tb1 0.000 0.000 0.000
Dy1 0.000 0.000 0.470
Dy2 0.188 0.188 0.735
Y1 0.000 0.322 0.236
```

***

Model b:
Entry from the Alexandria database: an optimized crystal structure of TbDy5Y4 (PBE-GGA).

```
data_TbDy5Y4
_cell_length_a 11.820
_cell_length_b 6.320
_cell_length_c 10.121
_cell_angle_alpha 90.00
_cell_angle_beta 121.58
_cell_angle_gamma 90.00
_space_group_name_H-M_alt 'C 1 2 1'
_space_group_IT_number 5
_space_group_name_Hall 'C 2y'
loop_
_atom_site_label
_atom_site_fract_x
_atom_site_fract_y
_atom_site_fract_z
Tb1 0.000 0.000 0.000
Dy1 0.000 0.451 0.000
Dy2 0.122 0.726 0.316
Dy3 0.241 0.225 0.927
Y1 0.059 0.226 0.388
Y2 0.178 0.726 0.688
```

***

Which is most stable, and by how much? model b, by 72 meV per atom.

***

Model a:
Entry from the Alexandria database: an optimized crystal structure of TbDy2Y7 (PBE-GGA).

```
data_TbDy2Y7
_cell_length_a 6.457
_cell_length_b 29.340
_cell_length_c 3.462
_cell_angle_alpha 90.00
_cell_angle_beta 90.00
_cell_angle_gamma 90.00
_space_group_name_H-M_alt 'C m m m'
_space_group_IT_number 65
_space_group_name_Hall '-C 2 2'
loop_
_atom_site_label
_atom_site_fract_x
_atom_site_fract_y
_atom_site_fract_z
Tb1 0.000 0.000 0.000
Dy1 0.000 0.208 0.500
Y1 0.000 0.311 0.000
Y2 0.000 0.500 0.500
Y3 0.243 0.100 0.500
```

***

Model b:
Entry from the Alexandria database: an optimized crystal structure of TbDy2Y7 (PBE-GGA).

```
data_TbDy2Y7
_cell_length_a 8.806
_cell_length_b 16.016
_cell_length_c 5.615
_cell_angle_alpha 90.00
_cell_angle_beta 90.00
_cell_angle_gamma 90.00
_space_group_name_H-M_alt 'C m m m'
_space_group_IT_number 65
_space_group_name_Hall '-C 2 2'
loop_
_atom_site_label
_atom_site_fract_x
_atom_site_fract_y
_atom_site_fract_z
Tb1 0.000 0.000 0.000
Dy1 0.000 0.296 0.500
Y1 0.000 0.219 0.000
Y2 0.000 0.500 0.500
Y3 0.177 0.115 0.500
```

***

Which is most stable, and by how much? model a, by 487 meV per atom.

***

Model a:
Entry from the Alexandria database: an optimized crystal structure of Tb4DyY4 (PBE-GGA).

```
data_Tb4DyY4
_cell_length_a 10.697
_cell_length_b 10.697
_cell_length_c 5.032
_cell_angle_alpha 90.00
_cell_angle_beta 90.00
_cell_angle_gamma 90.00
_space_group_name_H-M_alt 'I 4/m m m'
_space_group_IT_number 139
_space_group_name_Hall '-I 4 2'
loop_
_atom_site_label
_atom_site_fract_x
_atom_site_fract_y
_atom_site_fract_z
Tb1 0.000 0.334 0.000
Dy1 0.000 0.000 0.000
Y1 0.166 0.166 0.500
```

***

Model b:
Entry from the Alexandria database: an optimized crystal structure of Tb4DyY4 (PBE-GGA).

```
data_Tb4DyY4
_cell_length_a 16.778
_cell_length_b 5.512
_cell_length_c 6.804
_cell_angle_alpha 90.00
_cell_angle_beta 111.82
_cell_angle_gamma 90.00
_space_group_name_H-M_alt 'C 1 2/m 1'
_space_group_IT_number 12
_space_group_name_Hall '-C 2y'
loop_
_atom_site_label
_atom_site_fract_x
_atom_site_fract_y
_atom_site_fract_z
Tb1 0.073 0.000 0.389
Tb2 0.137 0.500 0.707
Dy1 0.000 0.500 0.000
Y1 0.135 0.000 0.974
Y2 0.219 0.500 0.298
```

***

Which is most stable, and by how much? model a, by 83 meV per atom.

***

Model a:
Entry from the Alexandria database: an optimized crystal structure of Tb8Dy6Y (PBE-GGA).

```
data_Tb8Dy6Y
_cell_length_a 9.8329
_cell_length_b 9.8329
_cell_length_c 5.7978
_cell_angle_alpha 90.00
_cell_angle_beta 90.00
_cell_angle_gamma 120.00
_space_group_name_H-M_alt 'P -3'
_space_group_IT_number 147
_space_group_name_Hall '-P 3'
loop_
_atom_site_label
_atom_site_fract_x
_atom_site_fract_y
_atom_site_fract_z
Tb1 0.0911 0.6235 0.2629
Tb2 0.3333 0.6667 0.7746
Dy1 0.0504 0.7757 0.7768
Y1 0.0000 0.0000 0.5000
```

***

Model b:
Entry from the Alexandria database: an optimized crystal structure of Tb8Dy6Y (PBE-GGA).

```
data_Tb8Dy6Y
_cell_length_a 9.0356
_cell_length_b 9.0356
_cell_length_c 20.6110
_cell_angle_alpha 90.00
_cell_angle_beta 90.00
_cell_angle_gamma 120.00
_space_group_name_H-M_alt 'R -3'
_space_group_IT_number 148
_space_group_name_Hall '-R 3'
loop_
_atom_site_label
_atom_site_fract_x
_atom_site_fract_y
_atom_site_fract_z
Tb1 0.0000 0.0000 0.0769
Tb2 0.0815 0.5284 0.3079
Dy1 0.0583 0.8119 0.2073
Y1 0.0000 0.0000 0.5000
```

***

Which is most stable, and by how much? model b, by 44 meV per atom.

***

Model a:
Entry from the Alexandria database: an optimized crystal structure of Tb12Dy7Y (PBE-GGA).

```
data_Tb12Dy7Y
_cell_length_a 11.286
_cell_length_b 11.286
_cell_length_c 11.286
_cell_angle_alpha 90.00
_cell_angle_beta 90.00
_cell_angle_gamma 90.00
_space_group_name_H-M_alt 'I m -3 m'
_space_group_IT_number 229
_space_group_name_Hall '-I 4 2 3'
loop_
_atom_site_label
_atom_site_fract_x
_atom_site_fract_y
_atom_site_fract_z
Tb1 0.000 0.251 0.251
Dy1 0.000 0.000 0.500
Dy2 0.250 0.250 0.250
Y1 0.000 0.000 0.000
```

***

Model b:
Entry from the Alexandria database: an optimized crystal structure of Tb12Dy7Y (PBE-GGA).

```
data_Tb12Dy7Y
_cell_length_a 12.8125
_cell_length_b 12.8125
_cell_length_c 13.7223
_cell_angle_alpha 90.00
_cell_angle_beta 90.00
_cell_angle_gamma 120.00
_space_group_name_H-M_alt 'R -3'
_space_group_IT_number 148
_space_group_name_Hall '-R 3'
loop_
_atom_site_label
_atom_site_fract_x
_atom_site_fract_y
_atom_site_fract_z
Tb1 0.0008 0.5650 0.2493
Tb2 0.0683 0.2002 0.8481
Dy1 0.0000 0.0000 0.0000
Dy2 0.0684 0.8684 0.3465
Y1 0.0000 0.0000 0.5000
```

***

Which is most stable, and by how much? model b, by 405 meV per atom.

***

Model a:
Entry from the Alexandria database: an optimized crystal structure of Tb2Dy2Y (PBE-GGA).

```
data_Tb2Dy2Y
_cell_length_a 5.880
_cell_length_b 5.880
_cell_length_c 9.585
_cell_angle_alpha 90.00
_cell_angle_beta 90.00
_cell_angle_gamma 90.00
_space_group_name_H-M_alt 'I 4/m m m'
_space_group_IT_number 139
_space_group_name_Hall '-I 4 2'
loop_
_atom_site_label
_atom_site_fract_x
_atom_site_fract_y
_atom_site_fract_z
Tb1 0.000 0.500 0.250
Dy1 0.000 0.000 0.147
Y1 0.000 0.000 0.500
```

***

Model b:
Entry from the Alexandria database: an optimized crystal structure of Tb2Dy2Y (PBE-GGA).

```
data_Tb2Dy2Y
_cell_length_a 9.344
_cell_length_b 9.344
_cell_length_c 3.693
_cell_angle_alpha 90.00
_cell_angle_beta 90.00
_cell_angle_gamma 90.00
_space_group_name_H-M_alt 'P 4/m b m'
_space_group_IT_number 127
_space_group_name_Hall '-P 4 2ab'
loop_
_atom_site_label
_atom_site_fract_x
_atom_site_fract_y
_atom_site_fract_z
Tb1 0.172 0.328 0.000
Dy1 0.127 0.627 0.500
Y1 0.000 0.000 0.500
```

***

Which is most stable, and by how much? model b, by 432 meV per atom.

***

Model a:
Entry from the Alexandria database: an optimized crystal structure of Tb3Dy2Y7 (PBE-GGA).

```
data_Tb3Dy2Y7
_cell_length_a 6.175
_cell_length_b 5.568
_cell_length_c 12.057
_cell_angle_alpha 90.00
_cell_angle_beta 92.41
_cell_angle_gamma 90.00
_space_group_name_H-M_alt 'P 1 2/m 1'
_space_group_IT_number 10
_space_group_name_Hall '-P 2y'
loop_
_atom_site_label
_atom_site_fract_x
_atom_site_fract_y
_atom_site_fract_z
Tb1 0.000 0.000 0.000
Tb2 0.451 0.500 0.335
Dy1 0.116 0.000 0.280
Y1 0.057 0.500 0.821
Y2 0.265 0.000 0.550
Y3 0.412 0.000 0.835
Y4 0.500 0.500 0.000
```

***

Model b:
Entry from the Alexandria database: an optimized crystal structure of Tb3Dy2Y7 (PBE-GGA).

```
data_Tb3Dy2Y7
_cell_length_a 5.812
_cell_length_b 3.578
_cell_length_c 18.709
_cell_angle_alpha 90.00
_cell_angle_beta 93.40
_cell_angle_gamma 90.00
_space_group_name_H-M_alt 'P 1 2/m 1'
_space_group_IT_number 10
_space_group_name_Hall '-P 2y'
loop_
_atom_site_label
_atom_site_fract_x
_atom_site_fract_y
_atom_site_fract_z
Tb1 0.000 0.000 0.000
Tb2 0.281 0.500 0.633
Dy1 0.206 0.000 0.294
Y1 0.183 0.500 0.144
Y2 0.242 0.000 0.463
Y3 0.314 0.000 0.821
Y4 0.500 0.500 0.000
```

***

Which is most stable, and by how much? model b, by 224 meV per atom.

***

Model a:
Entry from the Alexandria database: an optimized crystal structure of Tb5DyY3 (PBE-GGA).

```
data_Tb5DyY3
_cell_length_a 18.224
_cell_length_b 6.332
_cell_length_c 11.406
_cell_angle_alpha 90.00
_cell_angle_beta 112.07
_cell_angle_gamma 90.00
_space_group_name_H-M_alt 'C 1 2/c 1'
_space_group_IT_number 15
_space_group_name_Hall '-C 2yc'
loop_
_atom_site_label
_atom_site_fract_x
_atom_site_fract_y
_atom_site_fract_z
Tb1 0.000 0.102 0.250
Tb2 0.169 0.213 0.711
Tb3 0.170 0.320 0.372
Dy1 0.000 0.375 0.750
Y1 0.000 0.500 0.000
Y2 0.159 0.192 0.014
```

***

Model b:
Entry from the Alexandria database: an optimized crystal structure of Tb5DyY3 (PBE-GGA).

```
data_Tb5DyY3
_cell_length_a 15.161
_cell_length_b 11.452
_cell_length_c 9.943
_cell_angle_alpha 90.00
_cell_angle_beta 130.08
_cell_angle_gamma 90.00
_space_group_name_H-M_alt 'C 1 2/m 1'
_space_group_IT_number 12
_space_group_name_Hall '-C 2y'
loop_
_atom_site_label
_atom_site_fract_x
_atom_site_fract_y
_atom_site_fract_z
Tb1 0.000 0.244 0.000
Tb2 0.154 0.249 0.751
Tb3 0.223 0.500 0.040
Tb4 0.224 0.000 0.234
Dy1 0.248 0.000 0.598
Y1 0.000 0.000 0.500
Y2 0.000 0.500 0.000
Y3 0.010 0.000 0.821
Y4 0.019 0.500 0.359
```

***

Which is most stable, and by how much? model a, by 236 meV per atom.